[1]
{
  "formula": "SrY2RuN4",
  "functional": "GGA-PBE",
  "state": "optimized geometry",
  "cell": [[1.740, -5.975, 0.000], [1.740, 5.975, 0.000], [0.000, 0.000, 11.818]],
  "species": ["Sr", "Sr", "Y", "Y", "Y", "Y", "Ru", "Ru", "N", "N", "N", "N", "N", "N", "N", "N"],
  "fractional_positions": [[0.110, 0.890, 0.750], [0.890, 0.110, 0.250], [0.369, 0.631, 0.537], [0.369, 0.631, 0.963], [0.631, 0.369, 0.037], [0.631, 0.369, 0.463], [0.156, 0.844, 0.250], [0.844, 0.156, 0.750], [0.000, 0.000, 0.000], [0.000, 0.000, 0.500], [0.258, 0.742, 0.120], [0.258, 0.742, 0.380], [0.420, 0.580, 0.750], [0.580, 0.420, 0.250], [0.742, 0.258, 0.620], [0.742, 0.258, 0.880]],
  "energy_ev_per_atom": -8.03,
  "raw_formation_energy_ev_per_atom": -0.88,
  "sg": "No. 63",
  "dos_at_fermi_per_ev_cell": 6.31
}

[2]
{
  "formula": "Ta2RuN",
  "functional": "GGA-PBE",
  "state": "optimized geometry",
  "cell": [[1.533, 0.885, 6.787], [-1.533, 0.885, 6.787], [0.000, -1.771, 6.787]],
  "species": ["Ta", "Ta", "Ru", "N"],
  "fractional_positions": [[0.228, 0.228, 0.228], [0.772, 0.772, 0.772], [0.000, 0.000, 0.000], [0.500, 0.500, 0.500]],
  "polymorph_energy_mev_per_atom": 14,
  "energy_ev_per_atom": -10.91,
  "raw_formation_energy_ev_per_atom": -0.58,
  "sg": "No. 166",
  "dos_at_fermi_per_ev_cell": 2.27
}

[3]
{
  "formula": "Ta4RuN",
  "functional": "GGA-PBE",
  "state": "optimized geometry",
  "cell": [[5.621, 0.000, 0.000], [0.000, 5.363, 0.000], [-1.566, 0.000, 6.361]],
  "species": ["Ta", "Ta", "Ta", "Ta", "Ta", "Ta", "Ta", "Ta", "Ru", "Ru", "N", "N"],
  "fractional_positions": [[0.093, 0.154, 0.204], [0.093, 0.346, 0.704], [0.351, 0.610, 0.121], [0.351, 0.890, 0.621], [0.649, 0.110, 0.379], [0.649, 0.390, 0.879], [0.907, 0.654, 0.296], [0.907, 0.846, 0.796], [0.500, 0.000, 0.000], [0.500, 0.500, 0.500], [0.000, 0.000, 0.500], [0.000, 0.500, 0.000]],
  "energy_ev_per_atom": -11.09,
  "raw_formation_energy_ev_per_atom": -0.25,
  "sg": "No. 14",
  "dos_at_fermi_per_ev_cell": 7.63
}